(1)
Density functional theory data (GGA-PBE) for an optimized crystal structure of YCdInF2.

a = 4.547 Å, b = 4.547 Å, c = 6.348 Å
α = 90.00°, β = 90.00°, γ = 90.00°
Site moments in Bohr magnetons follow the coordinates.
Atoms (fractional coordinates):
F (0.000, 0.500, 0.000)  0.00
F (0.500, 0.000, 0.000)  0.00
Cd (0.500, 0.500, 0.500)  0.01
Y (0.000, 0.000, 0.500)  0.07
In (0.000, 0.000, 0.000)  0.02

energy relative to the elements, uncorrected: -0.95 eV per atom
N(E_F): 0.71 states/eV per atom
crystal system: tetragonal
VASP energy: -3.721 eV per atom
calculated volume: 131 Å³/f.u.
total moment: 0.036 μB/atom
symmetry: P4/mmm

***

(2)
Density functional theory data (GGA-PBE) for an optimized crystal structure of ZnCdIn2F6.

a = 6.188 Å, b = 6.189 Å, c = 6.048 Å
α = 59.17°, β = 59.21°, γ = 59.91°
Atoms (fractional coordinates):
Cd (0.816, 0.816, 0.552)
F (0.599, 0.092, 0.798)
F (0.540, 0.123, 0.305)
F (0.121, 0.034, 0.307)
F (0.095, 0.510, 0.796)
F (0.033, 0.543, 0.302)
F (0.511, 0.599, 0.794)
Zn (0.316, 0.316, 0.052)
In (0.074, 0.073, 0.778)
In (0.557, 0.557, 0.330)

energy relative to the elements, uncorrected: -2.00 eV per atom
N(E_F): 0.00 states/eV per atom
crystal system: triclinic
VASP energy: -3.888 eV per atom
calculated volume: 162 Å³/f.u.
total moment: 0.000 μB/atom
symmetry: P1

***

(3)
Density functional theory data (GGA-PBE) for an optimized crystal structure of ZnCd2InF.

a = 5.664 Å, b = 4.510 Å, c = 5.664 Å
α = 90.00°, β = 90.00°, γ = 90.00°
Atoms (fractional coordinates):
In (0.000, 0.000, 0.000)
Cd (0.000, 0.000, 0.500)
Cd (0.500, 0.000, 0.000)
F (0.000, 0.500, 0.000)
Zn (0.500, 0.500, 0.500)

energy relative to the elements, uncorrected: -0.31 eV per atom
N(E_F): 0.20 states/eV per atom
crystal system: tetragonal
VASP energy: -1.849 eV per atom
calculated volume: 145 Å³/f.u.
total moment: 0.000 μB/atom
symmetry: P4/mmm

***

(4)
Density functional theory data (GGA-PBE) for an optimized crystal structure of CdIrF2.

a = 8.588 Å, b = 8.588 Å, c = 8.588 Å
α = 18.86°, β = 18.86°, γ = 18.86°
Site moments in Bohr magnetons follow the coordinates.
Atoms (fractional coordinates):
Cd (0.500, 0.500, 0.500)  0.00
F (0.078, 0.078, 0.078)  0.07
F (0.922, 0.922, 0.922)  0.07
Ir (0.000, 0.000, 0.000)  0.75

energy relative to the elements, uncorrected: -0.89 eV per atom
N(E_F): 0.57 states/eV per atom
crystal system: trigonal
VASP energy: -4.274 eV per atom
calculated volume: 58 Å³/f.u.
total moment: 0.226 μB/atom
symmetry: R-3m

***

What did the fourth record say?
Density functional theory data (GGA-PBE) for an optimized crystal structure of CdIrF2.

a = 8.588 Å, b = 8.588 Å, c = 8.588 Å
α = 18.86°, β = 18.86°, γ = 18.86°
Site moments in Bohr magnetons follow the coordinates.
Atoms (fractional coordinates):
Cd (0.500, 0.500, 0.500)  0.00
F (0.078, 0.078, 0.078)  0.07
F (0.922, 0.922, 0.922)  0.07
Ir (0.000, 0.000, 0.000)  0.75

energy relative to the elements, uncorrected: -0.89 eV per atom
N(E_F): 0.57 states/eV per atom
crystal system: trigonal
VASP energy: -4.274 eV per atom
calculated volume: 58 Å³/f.u.
total moment: 0.226 μB/atom
symmetry: R-3m

***

> What is the formula in the fourth record?

CdIrF2